# 1
Here is a relaxed Sr3ZrU2As6 crystal from the Alexandria database. Energies are from GGA-PBE.

```
Sr3ZrU2As6
1.0
-4.498 -0.508 5.633
7.137 0.300 1.091
-1.233 7.168 -1.883
U Sr As Zr
2 3 6 1
Cartesian
3.258 0.031 2.605
-0.619 -0.239 4.118
0.703 3.480 2.420
-3.170 3.211 3.932
4.575 3.749 0.909
-0.291 5.572 0.245
2.958 5.602 2.915
2.266 1.623 0.435
-0.860 5.337 4.405
1.697 1.389 4.595
-1.552 1.358 1.925
0.000 0.000 0.000
```

Results
**ΔE_f**: -12.2 eV per formula unit
**M_tot**: 0.323 μB/atom
**Electronic total energy**: -76.31 eV/f.u.

---

# 2
Here is a relaxed Ca2CdMo crystal from the Alexandria database. Energies are from GGA-PBE.

```
Ca2CdMo
1.0
-2.613 -4.556 1.724
-1.027 -5.350 -0.939
4.196 -2.486 3.238
Mo Cd Ca
1 1 2
Cartesian
0.139 -3.098 1.006
0.416 -9.294 3.018
0.200 -6.220 1.973
-3.563 -9.883 0.824
```

Results
**ΔE_f**: 2.4 eV per formula unit
**M_tot**: 0.000 μB/atom
**Electronic total energy**: -13.32 eV/f.u.

---

# 3
Here is a relaxed LiHgCl2 crystal from the Alexandria database. Energies are from GGA-PBE.

```
LiHgCl2
1.0
3.945 0.000 0.000
0.000 7.258 0.000
0.000 0.000 3.809
Cl Hg Li
2 1 1
Cartesian
0.000 0.000 0.000
1.973 3.629 0.000
1.973 0.000 1.904
0.000 3.629 1.904
```

Results
**M_tot**: 0.000 μB/atom
**Electronic total energy**: -9.31 eV/f.u.
**Uncorrected formation energy**: -0.851 eV per atom
**Energy relative to the lowest polymorph listed for this composition**: 103 meV per atom